Record 1
TaMnBr2: optimized geometry, GGA-PBE.

Results
Total moment (μB per formula unit): 4.6
Formation energy from raw total energies (eV per atom): 0.5751
DOS(E_F) (states/eV/cell): 3.18
Energy above the lowest structure with this stoichiometry (meV/atom): 753.7

Cell: 3.1430 3.1430 9.7372 Å, 90.00 90.00 90.00°
Last column: nearest neighbours and their distance in Å.
Space group P4/mmm (No. 123)
Unique sites:
Ta 0.0000 0.0000 0.0000 (multiplicity 1)  8 Br 2.78
Mn 0.0000 0.0000 0.5000 (multiplicity 1)  4 Mn 3.14
Br 0.5000 0.5000 0.1713 (multiplicity 2)  4 Ta 2.78

***

Record 2
TaMnBr: optimized geometry, GGA-PBE.

Results
Total moment (μB per formula unit): 0.0
Formation energy from raw total energies (eV per atom): 0.8717
DOS(E_F) (states/eV/cell): 13.55
Energy above the lowest structure with this stoichiometry (meV/atom): 601.7

Cell: 5.9303 5.9303 5.9303 Å, 90.00 90.00 90.00°
Last column: nearest neighbours and their distance in Å.
Space group F-43m (No. 216)
Unique sites:
Ta 0.0000 0.0000 0.0000 (multiplicity 4)  4 Mn 2.57
Mn 0.2500 0.2500 0.2500 (multiplicity 4)  4 Ta 2.57, 4 Br 2.57
Br 0.0000 0.0000 0.5000 (multiplicity 4)  4 Mn 2.57

***

Record 3
TaMnBr2: optimized geometry, GGA-PBE.

Results
Total moment (μB per formula unit): 4.4
Formation energy from raw total energies (eV per atom): 0.4653
DOS(E_F) (states/eV/cell): 1.87
Energy above the lowest structure with this stoichiometry (meV/atom): 643.9

Cell: 3.2207 4.5404 5.6835 Å, 90.00 94.06 90.00°
Last column: nearest neighbours and their distance in Å.
Space group P2/m (No. 10)
Unique sites:
Ta 0.0000 0.0000 0.0000 (multiplicity 1)  4 Br 2.71
Mn 0.5000 0.0000 0.5000 (multiplicity 1)  4 Br 2.84, 2 Ta 3.17
Br 0.1889 0.5000 0.2440 (multiplicity 2)  2 Ta 2.71, 2 Mn 2.84, 1 Br 2.95

***

Record 4
TaMnBr: optimized geometry, GGA-PBE.

Results
Total moment (μB per formula unit): 1.0
Formation energy from raw total energies (eV per atom): 1.0756
DOS(E_F) (states/eV/cell): 15.21
Energy above the lowest structure with this stoichiometry (meV/atom): 805.7

Cell: 6.2628 6.2628 6.2628 Å, 90.00 90.00 90.00°
Last column: nearest neighbours and their distance in Å.
Space group F-43m (No. 216)
Unique sites:
Ta 0.0000 0.0000 0.0000 (multiplicity 4)  4 Mn 2.71, 4 Br 2.71
Mn 0.2500 0.2500 0.2500 (multiplicity 4)  4 Ta 2.71
Br 0.2500 0.2500 0.7500 (multiplicity 4)  4 Ta 2.71

***

Record 5
TaMnBr2: optimized geometry, GGA-PBE.

Results
Total moment (μB per formula unit): 2.0
Formation energy from raw total energies (eV per atom): -0.1518
DOS(E_F) (states/eV/cell): 8.03
Energy above the lowest structure with this stoichiometry (meV/atom): 26.8

Cell: 3.4135 3.4135 27.5303 Å, 90.00 90.00 120.00°
Last column: nearest neighbours and their distance in Å.
Space group R3m (No. 160, hexagonal axes)
Unique sites:
Ta 0.0000 0.0000 0.0000 (multiplicity 3)  3 Mn 2.60, 3 Br 2.76
Mn 0.0000 0.0000 0.2720 (multiplicity 3)  3 Ta 2.60, 3 Br 2.61
Br 0.0000 0.0000 0.5430 (multiplicity 3)  3 Mn 2.61
Br 0.0000 0.0000 0.7370 (multiplicity 3)  3 Ta 2.76

***

Record 6
TaMnBr2: optimized geometry, GGA-PBE.

Results
Total moment (μB per formula unit): 3.5
Formation energy from raw total energies (eV per atom): 0.5471
DOS(E_F) (states/eV/cell): 4.83
Energy above the lowest structure with this stoichiometry (meV/atom): 725.6

Cell: 6.1886 8.8965 3.2301 Å, 90.00 113.83 90.00°
Last column: nearest neighbours and their distance in Å.
Space group C2/m (No. 12)
Unique sites:
Ta 0.0000 0.0000 0.0000 (multiplicity 2)  4 Br 2.71
Mn 0.0000 0.5000 0.0000 (multiplicity 2)  4 Br 2.71
Br 0.2500 0.2500 0.0000 (multiplicity 4)  2 Ta 2.71, 2 Mn 2.71

***

Record 7
TaMnBr2: optimized geometry, GGA-PBE.

Results
Total moment (μB per formula unit): 3.6
Formation energy from raw total energies (eV per atom): 0.5980
DOS(E_F) (states/eV/cell): 3.21
Energy above the lowest structure with this stoichiometry (meV/atom): 776.5

Cell: 3.1068 4.5060 5.8727 Å, 90.00 90.00 90.00°
Last column: nearest neighbours and their distance in Å.
Space group Pmmm (No. 47)
Unique sites:
Ta 0.0000 0.0000 0.0000 (multiplicity 1)  4 Br 2.74
Mn 0.5000 0.0000 0.5000 (multiplicity 1)  4 Br 2.74
Br 0.0000 0.5000 0.5000 (multiplicity 1)  4 Mn 2.74
Br 0.5000 0.5000 0.0000 (multiplicity 1)  4 Ta 2.74

***

Record 8
Ta2MnBr: optimized geometry, GGA-PBE.

Results
Total moment (μB per formula unit): 2.0
Formation energy from raw total energies (eV per atom): 0.2079
DOS(E_F) (states/eV/cell): 2.82
Energy above the lowest structure with this stoichiometry (meV/atom): 0.0

Cell: 3.2813 3.1921 7.5275 Å, 90.00 90.06 90.00°
Last column: nearest neighbours and their distance in Å.
Space group Pm (No. 6)
Unique sites:
Ta 0.0000 0.0000 0.0000 (multiplicity 1)  4 Mn 2.63, 4 Ta 2.84
Ta 0.4994 0.5000 0.7766 (multiplicity 1)  2 Br 2.73, 4 Ta 2.84, 1 Mn 2.99
Mn 0.5005 0.5000 0.1733 (multiplicity 1)  4 Ta 2.63, 2 Br 2.82
Br 0.4968 0.0000 0.4821 (multiplicity 1)  2 Ta 2.73, 2 Mn 2.82

***

Among the records above, which one has the lowest formation energy from raw total energies? number 5